[1]
VASP calculation (PBE) on a relaxed CsCN3 crystal.

Cell lengths 3.7379, 3.7379, 3.7379 Å; angles 90.00, 90.00, 90.00 degrees
With the nearest neighbours (Å) after each atom.
Positions (direct):
Cs  0.0000  0.0000  0.0000  12 N 2.64
C  0.5000  0.5000  0.5000  6 N 1.87
N  0.0000  0.5000  0.5000  2 C 1.87
N  0.5000  0.0000  0.5000  2 C 1.87
N  0.5000  0.5000  0.0000  2 C 1.87

## Properties
* calculated density: 5.94 g/cm³
* magnetic moment: 0.0 Bohr magnetons per cell
* uncorrected formation energy: 15.08 eV per formula unit
* total energy: -19.98 eV per formula unit

***

[2]
VASP calculation (PBE) on a relaxed Mg5Ag crystal.

Cell lengths 6.7630, 6.7630, 4.5155 Å; angles 90.00, 90.00, 141.91 degrees
With the nearest neighbours (Å) after each atom.
Positions (direct):
Mg  0.0000  0.0000  0.0000  8 Mg 3.03-3.04, 4 Ag 3.16
Mg  0.1596  0.8404  0.5000  2 Ag 3.01, 10 Mg 3.04-3.20
Mg  0.3374  0.6626  0.0000  10 Mg 3.03-3.20, 2 Ag 3.07
Mg  0.6626  0.3374  0.0000  10 Mg 3.03-3.20, 2 Ag 3.07
Mg  0.8404  0.1596  0.5000  2 Ag 3.01, 10 Mg 3.04-3.20
Ag  0.5000  0.5000  0.5000  12 Mg 3.01-3.16

## Properties
* energy relative to the elements: -0.06 eV/atom
* calculated density: 2.99 g/cm³
* magnetic moment: 0.0 Bohr magnetons per cell
* total energy: -11.16 eV per formula unit

***

[3]
VASP calculation (PBE) on a relaxed KZn2Os crystal.

Cell lengths 2.7088, 4.4150, 7.6059 Å; angles 90.00, 90.14, 90.00 degrees
With the nearest neighbours (Å) after each atom.
Positions (direct):
K  0.0000  0.0000  0.0000  2 K 2.71
Zn  0.4942  0.0000  0.3960  4 Os 2.60, 2 Zn 2.71
Zn  0.4953  0.5000  0.6553  2 Os 2.57, 2 Zn 2.71
Os  0.9934  0.5000  0.3680  6 Zn 2.57-2.60, 2 Os 2.71

## Properties
* energy relative to the elements: 0.43 eV/atom
* calculated density: 6.57 g/cm³
* magnetic moment: 0.0 Bohr magnetons per cell
* offset from the most stable computed form: 20 meV/atom
* total energy: -13.14 eV per formula unit